DFT (PBE) results for a geometry-optimized ZrTcW2 structure.

crystal system: orthorhombic
E_form: -0.083 eV/atom
polymorph energy (0 for the lowest one): 0.0 meV per atom
calculated density: 13.64 g/cm3
total magnetization: 0.000 μB/cell

a = 3.2098 Å, b = 4.5260 Å, c = 9.3361 Å
α = 90.00°, β = 90.00°, γ = 90.00°
Space group Immm (No. 71)
Inequivalent atoms, fractional coordinates:
Zr (0.0000, 0.0000, 0.0000) x2
Tc (0.0000, 0.0000, 0.5000) x2
W (0.0000, 0.5000, 0.2417) x4

***

DFT (PBE) results for a geometry-optimized Ag2SnBBr structure.

crystal system: tetragonal
ΔE_f (raw): 56.81 kJ/mol of atoms
calculated density: 6.41 g/cm3
total magnetization: 0.000 μB/cell

a = 4.4037 Å, b = 4.4037 Å, c = 5.6837 Å
α = 90.00°, β = 90.00°, γ = 90.00°
Space group P4/mmm (No. 123)
Inequivalent atoms, fractional coordinates:
Ag (0.0000, 0.5000, 0.0000) x2
Sn (0.0000, 0.0000, 0.5000) x1
B (0.5000, 0.5000, 0.0000) x1
Br (0.5000, 0.5000, 0.5000) x1

***

DFT (PBE) results for a geometry-optimized PaMnGe2S6 structure.

crystal system: triclinic
ΔE_f (raw): -66.10 kJ/mol of atoms
calculated density: 4.42 g/cm3
total magnetization: 3.969 μB/cell

a = 6.4704 Å, b = 6.9161 Å, c = 7.0667 Å
α = 60.95°, β = 89.60°, γ = 62.21°
Space group P1 (No. 1)
Inequivalent atoms, fractional coordinates:
Pa (0.0000, 0.0000, 0.0000) x1
Mn (0.5129, 0.0003, 0.5024) x1
Ge (0.1657, 0.6645, 0.5793) x1
Ge (0.6504, 0.5924, 0.0855) x1
S (0.1660, 0.0600, 0.3084) x1
S (0.3238, 0.0511, 0.7883) x1
S (0.3465, 0.5031, 0.2522) x1
S (0.6447, 0.4865, 0.7993) x1
S (0.7619, 0.8586, 0.3002) x1
S (0.8537, 0.9181, 0.7123) x1

***

DFT (PBE) results for a geometry-optimized Hg2IrOs structure.

crystal system: orthorhombic
E_form: 0.811 eV/atom
polymorph energy (0 for the lowest one): 389.9 meV per atom
calculated density: 18.53 g/cm3
total magnetization: 0.182 μB/cell

a = 2.8632 Å, b = 5.0262 Å, c = 9.7570 Å
α = 90.00°, β = 90.00°, γ = 90.00°
Space group Immm (No. 71)
Inequivalent atoms, fractional coordinates:
Hg (0.0000, 0.0000, 0.2487) x4
Ir (0.0000, 0.5000, 0.5000) x2
Os (0.0000, 0.5000, 0.0000) x2

***

DFT (PBE) results for a geometry-optimized CdCoSe2Br structure.

crystal system: tetragonal
ΔE_f (raw): 13.28 kJ/mol of atoms
polymorph energy (0 for the lowest one): 0.0 meV per atom
calculated density: 5.99 g/cm3
total magnetization: 1.633 μB/cell

a = 4.6996 Å, b = 4.6996 Å, c = 5.1317 Å
α = 90.00°, β = 90.00°, γ = 90.00°
Space group P4/mmm (No. 123)
Inequivalent atoms, fractional coordinates:
Cd (0.0000, 0.0000, 0.0000) x1
Co (0.5000, 0.5000, 0.5000) x1
Se (0.0000, 0.5000, 0.5000) x2
Br (0.5000, 0.5000, 0.0000) x1

***

DFT (PBE) results for a geometry-optimized YTaTl2 structure.

crystal system: orthorhombic
E_form: 0.297 eV/atom
calculated density: 11.20 g/cm3
total magnetization: 0.000 μB/cell

a = 4.4204 Å, b = 4.6881 Å, c = 9.7059 Å
α = 90.00°, β = 90.00°, γ = 90.00°
Space group Cmm2 (No. 35)
Inequivalent atoms, fractional coordinates:
Y (0.0000, 0.0000, 0.0000) x2
Ta (0.0000, 0.5000, 0.2257) x2
Tl (0.0000, 0.0000, 0.4577) x2
Tl (0.0000, 0.5000, 0.7240) x2